Material: CsAlCdS3
Method: DFT, PBE
State: relaxed

The structure in POSCAR format:
```
CsAlCdS3
1.0
-1.495 1.084 -7.889
0.886 -4.582 6.624
-10.274 1.034 2.089
S Al Cs Cd
6 2 2 2
Cartesian
-4.900 -1.845 1.845
-10.528 -0.162 -0.098
-0.356 -2.302 0.921
-1.813 -4.014 6.353
-9.071 1.549 -5.530
-5.983 -0.619 -1.022
0.000 0.000 0.000
-5.137 0.517 1.044
-3.434 -0.157 -3.528
-7.450 -2.308 4.351
-2.755 -1.771 0.607
-8.128 -0.694 0.215
```

Calculated values
space group	Cmcm (63)
V	313.0	Å³/cell
crystal system	orthorhombic
uncorrected energy	-23.0	eV/f.u.
relative energy among the computed polymorphs	96.8	meV/atom